Record 1
GGA-PBE Tb3NdY3, relaxed; space-group type = P6_3/m; ΔE to the lowest computed polymorph = 0 meV/atom
1.0
9.644 0.000 0.000
-4.822 8.352 0.000
0.000 0.000 5.717
Tb Nd Y
6 2 6
Direct
0.049 0.813 0.250
0.187 0.236 0.250
0.236 0.049 0.750
0.764 0.951 0.250
0.813 0.764 0.750
0.951 0.187 0.750
0.333 0.667 0.250
0.667 0.333 0.750
0.096 0.621 0.750
0.379 0.475 0.750
0.475 0.096 0.250
0.525 0.904 0.750
0.621 0.525 0.250
0.904 0.379 0.250


Record 2
GGA-PBE Tb8NdY4, relaxed; space-group type = Pm-3m
1.0
7.808 0.000 0.000
0.000 7.808 0.000
0.000 0.000 7.808
Tb Nd Y
8 1 4
Direct
0.240 0.240 0.240
0.240 0.240 0.760
0.240 0.760 0.240
0.240 0.760 0.760
0.760 0.240 0.240
0.760 0.240 0.760
0.760 0.760 0.240
0.760 0.760 0.760
0.500 0.500 0.500
0.000 0.000 0.000
0.000 0.500 0.500
0.500 0.000 0.500
0.500 0.500 0.000


Record 3
GGA-PBE TbNd12Y6, relaxed; space-group type = R-3m
1.0
6.796 3.924 4.413
-6.796 3.924 4.413
0.000 -7.847 4.413
Tb Nd Y
1 12 6
Direct
0.000 0.000 0.000
0.118 0.500 0.882
0.118 0.882 0.500
0.184 0.467 0.467
0.467 0.184 0.467
0.467 0.467 0.184
0.500 0.118 0.882
0.500 0.882 0.118
0.533 0.533 0.816
0.533 0.816 0.533
0.816 0.533 0.533
0.882 0.118 0.500
0.882 0.500 0.118
0.199 0.199 0.747
0.199 0.747 0.199
0.253 0.801 0.801
0.747 0.199 0.199
0.801 0.253 0.801
0.801 0.801 0.253


Record 4
GGA-PBE Tb3Nd2Y3, relaxed; space-group type = C2/m; ΔE to the lowest computed polymorph = 0 meV/atom
1.0
12.033 -1.806 0.000
12.033 1.806 0.000
-1.624 0.000 6.042
Tb Nd Y
3 2 3
Direct
0.000 0.000 0.000
0.124 0.124 0.792
0.876 0.876 0.208
0.250 0.250 0.250
0.750 0.750 0.750
0.376 0.376 0.709
0.500 0.500 0.500
0.624 0.624 0.291


Record 5
GGA-PBE Tb12NdY7, relaxed; space-group type = R-3; ΔE to the lowest computed polymorph = 0 meV/atom
1.0
6.015 3.473 5.346
-6.015 3.473 5.346
0.000 -6.946 5.346
Tb Nd Y
12 1 7
Direct
0.103 0.347 0.428
0.230 0.757 0.353
0.243 0.647 0.770
0.347 0.428 0.103
0.353 0.230 0.757
0.428 0.103 0.347
0.572 0.897 0.653
0.647 0.770 0.243
0.653 0.572 0.897
0.757 0.353 0.230
0.770 0.243 0.647
0.897 0.653 0.572
0.000 0.000 0.000
0.004 0.366 0.879
0.121 0.996 0.634
0.366 0.879 0.004
0.500 0.500 0.500
0.634 0.121 0.996
0.879 0.004 0.366
0.996 0.634 0.121


Record 6
GGA-PBE Tb4Nd4Y5, relaxed; space-group type = I4/m
1.0
-6.501 6.501 2.542
6.501 -6.501 2.542
6.501 6.501 -2.542
Tb Nd Y
4 4 5
Direct
0.154 0.230 0.384
0.230 0.846 0.076
0.770 0.154 0.924
0.846 0.770 0.616
0.078 0.617 0.695
0.383 0.078 0.461
0.617 0.922 0.539
0.922 0.383 0.305
0.000 0.000 0.000
0.309 0.461 0.771
0.461 0.691 0.152
0.539 0.309 0.848
0.691 0.539 0.229


Record 7
GGA-PBE TbNd9Y2, relaxed; space-group type = P4/mmm
1.0
5.166 0.000 0.000
0.000 5.166 0.000
0.000 0.000 15.496
Tb Nd Y
1 9 2
Direct
0.000 0.000 0.000
0.000 0.500 0.166
0.000 0.500 0.500
0.000 0.500 0.834
0.500 0.000 0.166
0.500 0.000 0.500
0.500 0.000 0.834
0.500 0.500 0.000
0.500 0.500 0.333
0.500 0.500 0.667
0.000 0.000 0.333
0.000 0.000 0.667


Record 8
GGA-PBE Tb9Nd2Y3, relaxed; space-group type = C2/m
1.0
8.907 -5.135 0.000
8.907 5.135 0.000
-1.650 0.000 5.175
Tb Nd Y
9 2 3
Direct
0.000 0.000 0.000
0.042 0.345 0.692
0.145 0.603 0.875
0.345 0.042 0.692
0.397 0.855 0.125
0.603 0.145 0.875
0.655 0.958 0.308
0.855 0.397 0.125
0.958 0.655 0.308
0.260 0.740 0.500
0.740 0.260 0.500
0.324 0.324 0.324
0.500 0.500 0.000
0.676 0.676 0.676


Record 9
GGA-PBE Tb3NdY7, relaxed; space-group type = P2/m; ΔE to the lowest computed polymorph = 0 meV/atom
1.0
6.942 0.000 0.000
0.000 5.574 0.000
-3.330 0.000 9.454
Tb Nd Y
3 1 7
Direct
0.000 0.000 0.000
0.222 0.500 0.503
0.778 0.500 0.497
0.500 0.000 0.000
0.077 0.000 0.669
0.179 0.500 0.861
0.352 0.500 0.212
0.500 0.000 0.500
0.648 0.500 0.788
0.821 0.500 0.139
0.923 0.000 0.331


Record 10
GGA-PBE Tb9NdY2, relaxed; space-group type = P6/mmm; ΔE to the lowest computed polymorph = 22 meV/atom
1.0
11.312 0.000 0.000
-5.656 9.797 0.000
0.000 0.000 3.516
Tb Nd Y
9 1 2
Direct
0.000 0.500 0.000
0.177 0.354 0.500
0.177 0.823 0.500
0.354 0.177 0.500
0.500 0.000 0.000
0.500 0.500 0.000
0.646 0.823 0.500
0.823 0.177 0.500
0.823 0.646 0.500
0.000 0.000 0.000
0.333 0.667 0.000
0.667 0.333 0.000


Record 11
GGA-PBE TbNd10Y4, relaxed; space-group type = I4/m
1.0
-6.216 6.216 3.924
6.216 -6.216 3.924
6.216 6.216 -3.924
Tb Nd Y
1 10 4
Direct
0.000 0.000 0.000
0.050 0.150 0.701
0.150 0.449 0.100
0.250 0.750 0.500
0.349 0.050 0.900
0.449 0.349 0.299
0.551 0.651 0.701
0.651 0.950 0.100
0.750 0.250 0.500
0.850 0.551 0.900
0.950 0.850 0.299
0.200 0.600 0.801
0.400 0.200 0.600
0.600 0.800 0.400
0.800 0.400 0.199


Record 12
GGA-PBE TbNd2Y12, relaxed; space-group type = Cmme
1.0
3.545 -5.708 0.000
3.545 5.708 0.000
0.000 0.000 24.918
Tb Nd Y
2 4 24
Direct
0.250 0.750 0.000
0.750 0.250 0.000
0.250 0.750 0.270
0.250 0.750 0.735
0.750 0.250 0.265
0.750 0.250 0.730
0.000 0.000 0.077
0.000 0.000 0.923
0.000 0.500 0.126
0.000 0.500 0.874
0.011 0.511 0.585
0.014 0.986 0.439
0.250 0.250 0.198
0.250 0.250 0.327
0.250 0.250 0.673
0.250 0.250 0.802
0.486 0.514 0.439
0.489 0.989 0.585
0.500 0.000 0.126
0.500 0.000 0.874
0.500 0.500 0.077
0.500 0.500 0.923
0.511 0.011 0.415
0.514 0.486 0.561
0.750 0.750 0.198
0.750 0.750 0.327
0.750 0.750 0.673
0.750 0.750 0.802
0.986 0.014 0.561
0.989 0.489 0.415


Record 13
GGA-PBE Tb5NdY2, relaxed; space-group type = P2_1/m; ΔE to the lowest computed polymorph = 174 meV/atom
1.0
5.774 0.000 0.000
0.000 11.222 0.000
-2.430 0.000 8.248
Tb Nd Y
10 2 4
Direct
0.170 0.078 0.215
0.170 0.422 0.215
0.263 0.750 0.580
0.304 0.077 0.620
0.304 0.423 0.620
0.696 0.577 0.380
0.696 0.923 0.380
0.737 0.250 0.420
0.830 0.578 0.785
0.830 0.922 0.785
0.007 0.250 0.847
0.993 0.750 0.153
0.383 0.616 0.962
0.383 0.884 0.962
0.617 0.116 0.038
0.617 0.384 0.038


Record 14
GGA-PBE Tb7Nd4Y, relaxed; space-group type = P-1; ΔE to the lowest computed polymorph = 0 meV/atom
1.0
6.589 0.000 0.000
0.922 6.829 0.000
1.981 0.441 8.908
Tb Nd Y
7 4 1
Direct
0.000 0.000 0.000
0.189 0.605 0.384
0.317 0.200 0.641
0.488 0.747 0.051
0.512 0.253 0.949
0.683 0.800 0.359
0.811 0.395 0.616
0.159 0.114 0.308
0.363 0.693 0.717
0.637 0.307 0.283
0.841 0.886 0.692
0.000 0.500 0.000


Record 15
GGA-PBE TbNd3Y3, relaxed; space-group type = P6_3/m; ΔE to the lowest computed polymorph = 0 meV/atom
1.0
9.708 0.000 0.000
-4.854 8.407 0.000
0.000 0.000 5.804
Tb Nd Y
2 6 6
Direct
0.333 0.667 0.250
0.667 0.333 0.750
0.051 0.242 0.250
0.192 0.949 0.250
0.242 0.192 0.750
0.758 0.808 0.250
0.808 0.051 0.750
0.949 0.758 0.750
0.095 0.478 0.750
0.383 0.905 0.750
0.478 0.383 0.250
0.522 0.617 0.750
0.617 0.095 0.250
0.905 0.522 0.250


Record 16
GGA-PBE Tb3Nd2Y6, relaxed; space-group type = C2/m
1.0
3.079 -5.342 0.000
3.079 5.342 0.000
-2.072 0.000 11.564
Tb Nd Y
3 2 6
Direct
0.000 0.000 0.000
0.335 0.665 0.000
0.665 0.335 0.000
0.167 0.833 0.500
0.833 0.167 0.500
0.083 0.416 0.248
0.251 0.251 0.752
0.416 0.083 0.248
0.584 0.917 0.752
0.749 0.749 0.248
0.917 0.584 0.752


Record 17
GGA-PBE TbNd5Y5, relaxed; space-group type = C2/m
1.0
9.392 -3.047 0.000
9.392 3.047 0.000
-2.277 0.000 6.627
Tb Nd Y
1 5 5
Direct
0.000 0.000 0.000
0.000 0.000 0.500
0.328 0.328 0.812
0.374 0.374 0.357
0.626 0.626 0.643
0.672 0.672 0.188
0.174 0.174 0.922
0.178 0.178 0.417
0.500 0.500 0.000
0.822 0.822 0.583
0.826 0.826 0.078


Record 18
GGA-PBE TbNd5Y3, relaxed; space-group type = C2/m; ΔE to the lowest computed polymorph = 212 meV/atom
1.0
7.684 -5.877 0.000
7.684 5.877 0.000
-6.358 0.000 7.676
Tb Nd Y
2 10 6
Direct
0.249 0.249 0.091
0.751 0.751 0.909
0.100 0.604 0.759
0.229 0.229 0.737
0.247 0.753 0.500
0.274 0.274 0.451
0.396 0.900 0.241
0.604 0.100 0.759
0.726 0.726 0.549
0.753 0.247 0.500
0.771 0.771 0.263
0.900 0.396 0.241
0.000 0.000 0.000
0.007 0.007 0.325
0.486 0.486 0.148
0.500 0.500 0.500
0.514 0.514 0.852
0.993 0.993 0.675


no.,energy of formation (eV per atom)
1,0.011
2,0.525
3,0.411
4,0.002
5,0.246
6,0.017
7,0.014
8,0.301
9,0.142
10,0.043
11,0.713
12,0.167
13,0.191
14,0.084
15,0.018
16,0.186
17,0.259
18,0.485